1.
Here is TbTl2Ge2O6 after structural relaxation from the Alexandria database. Energies are from PBE-GGA.

Results
ρ ... 7.0 g cm⁻³
Space-group type ... C2/m
Size of the total moment ... 0.95 Bohr magnetons per cell
DFT total energy ... -0.2233 Ha/atom

Cell lengths 6.0826, 6.0826, 7.1082 Å; angles 117.65, 117.65, 60.29 degrees
With the nearest neighbours (Å) after each atom.
Positions (direct):
Tb: 0.0000 0.0000 0.0000  6 O 2.27-2.29
Tl: 0.2086 0.2086 0.6670  4 O 2.89-2.98
Tl: 0.7914 0.7914 0.3330  4 O 2.89-2.98
Ge: 0.4478 0.4478 0.2821  3 O 1.74-1.76
Ge: 0.5522 0.5522 0.7179  3 O 1.74-1.76
O: 0.2335 0.7094 0.7492  1 Ge 1.76
O: 0.2530 0.2530 0.1566  1 Ge 1.74
O: 0.2906 0.7665 0.2508  1 Ge 1.76
O: 0.7094 0.2335 0.7492  1 Ge 1.76
O: 0.7470 0.7470 0.8434  1 Ge 1.74
O: 0.7665 0.2906 0.2508  1 Ge 1.76



2.
Here is Tb3Tl3GeO8 after structural relaxation from the Alexandria database. Energies are from PBE-GGA.

Results
ρ ... 8.2 g cm⁻³
Space-group type ... R-3m
Size of the total moment ... 0.00 Bohr magnetons per cell
DFT total energy ... -0.2389 Ha/atom

Cell lengths 7.6463, 7.6463, 7.6463 Å; angles 52.78, 52.78, 52.78 degrees
With the nearest neighbours (Å) after each atom.
Positions (direct):
Tb: 0.0000 0.5000 0.5000  6 O 2.25-2.35
Tb: 0.5000 0.0000 0.5000  6 O 2.25-2.35
Tb: 0.5000 0.5000 0.0000  6 O 2.25-2.35
Tl: 0.0000 0.0000 0.5000  6 O 2.90-2.94
Tl: 0.0000 0.5000 0.0000  6 O 2.90-2.94
Tl: 0.5000 0.0000 0.0000  6 O 2.90-2.94
Ge: 0.0000 0.0000 0.0000  6 O 2.01
O: 0.1989 0.1989 0.7621  1 Ge 2.01
O: 0.1989 0.7621 0.1989  1 Ge 2.01
O: 0.2379 0.8011 0.8011  1 Ge 2.01
O: 0.2776 0.2776 0.2776  3 Tb 2.25
O: 0.7224 0.7224 0.7224  3 Tb 2.25
O: 0.7621 0.1989 0.1989  1 Ge 2.01
O: 0.8011 0.2379 0.8011  1 Ge 2.01
O: 0.8011 0.8011 0.2379  1 Ge 2.01



| no. | E_form (uncorrected) (meV per atom) |
| --- | --- |
| 1 | -1682 |
| 2 | -2148 |